1.
Density functional theory data (PBE-GGA) for a relaxed structure of V7FeNi12.

Summary:
calculated formation energy	0	meV/atom

Geometry as POSCAR:
```
V7FeNi12
1.0
-1.2312 3.4269 -5.4994
3.0717 -5.5414 -1.8331
-5.8362 -1.7747 2.5084
V Fe Ni
7 1 12
Cartesian
-3.8301 -5.0690 0.5976 V
-5.5130 -0.5246 0.3815 V
0.7774 -5.4259 -0.8773 V
-1.9979 -1.9446 -2.4121 V
-4.7731 1.5367 -3.9469 V
1.5173 -3.3646 -5.2056 V
-0.1656 1.1798 -5.4217 V
0.0000 0.0000 0.0000 Fe
-3.5407 -0.2889 -3.2547 Ni
-1.0283 -0.2312 -3.8107 Ni
-2.0476 0.4977 -1.5251 Ni
-2.5410 -1.7361 -4.9450 Ni
-3.6745 -1.1888 -0.8470 Ni
-4.4985 -2.6250 -2.6070 Ni
0.5028 -1.2642 -2.2171 Ni
-0.3212 -2.7004 -3.9771 Ni
-1.4547 -2.1531 0.1208 Ni
-1.9481 -4.3869 -3.2990 Ni
-2.9674 -3.6580 -1.0134 Ni
-0.4550 -3.6003 -1.5694 Ni
```

2.
Density functional theory data (PBE-GGA) for a relaxed structure of NaTmTl2.

Summary:
calculated formation energy	-225	meV/atom

Geometry as POSCAR:
```
NaTmTl2
1.0
-2.5648 -2.2636 -1.6321
2.6224 -4.2356 1.7532
-2.8709 0.0572 4.4323
Na Tl Tm
1 2 1
Cartesian
-1.2824 -1.1318 -0.8160 Na
-1.4355 0.0286 2.2162 Tl
1.3112 -2.1178 0.8766 Tl
-1.4066 -3.2210 2.2767 Tm
```

3.
Density functional theory data (PBE-GGA) for a relaxed structure of HfTiSi.

Summary:
energy relative to the elements, uncorrected	-1.9	eV per formula unit

Geometry as POSCAR:
```
HfTiSi
1.0
-3.4508 -3.2853 5.2991
1.6276 -3.0855 -0.8530
8.8476 4.4181 0.9011
Si Hf Ti
4 4 4
Cartesian
2.0677 0.5189 2.0682 Si
3.3292 0.6138 4.1319 Si
7.3053 1.1852 2.0922 Si
-0.2808 -3.1380 3.2549 Si
5.8366 1.8717 4.3663 Hf
-0.4397 -0.7389 1.8338 Hf
2.2266 -1.8801 3.4893 Hf
4.7979 -0.0727 1.8578 Hf
-0.2661 -1.6024 5.2883 Ti
5.6630 2.7352 0.9118 Ti
4.9715 -0.9361 5.3123 Ti
2.0530 -1.0166 0.0348 Ti
```

4.
Density functional theory data (PBE-GGA) for a relaxed structure of NaSb2IrI.

Summary:
energy relative to the elements, uncorrected	7.5	eV per formula unit

Geometry as POSCAR:
```
NaSb2IrI
1.0
-2.0531 -0.5955 4.8539
-2.2600 -4.5529 -1.5145
4.3610 -2.6694 1.5172
I Sb Ir Na
1 2 1 1
Cartesian
2.1805 -1.3347 0.7586 I
-1.1300 -2.2765 -0.7572 Sb
-1.0266 -0.2977 2.4269 Sb
0.0240 -3.9089 2.4283 Ir
0.0000 0.0000 0.0000 Na
```

no.,VASP energy (eV per atom)
1,-7.083
2,-2.856
3,-8.399
4,-2.497